#A
A PBEsol-optimized structure of ScCuCl2. Source: Alexandria via LeMat-Bulk, functional SCAN.

Cell: 3.470 3.291 7.464 Å, 90.00 102.90 90.00°
Atoms (fractional coordinates):
Sc  0.000  0.000  0.000
Cu  0.410  0.500  0.808
Cl  0.120  0.500  0.251
Cl  0.825  0.000  0.656

#B
A PBEsol-optimized structure of ScCuCl2. Source: Alexandria via LeMat-Bulk, functional SCAN.

Cell: 5.060 5.060 3.358 Å, 107.42 107.42 105.33°
Atoms (fractional coordinates):
Sc  0.000  0.000  0.000
Cu  0.500  0.500  0.000
Cl  0.000  0.500  0.000
Cl  0.500  0.000  0.000

How do the energies compare? Relative to the most stable structure, in meV/atom: #A 0; #B 439.

#A
A PBEsol-optimized structure of Cu2SeCl. Source: Alexandria via LeMat-Bulk, functional SCAN.

Cell: 4.446 4.446 4.446 Å, 60.00 60.00 60.00°
Atoms (fractional coordinates):
Cu  0.250  0.250  0.250
Cu  0.750  0.750  0.750
Se  0.000  0.000  0.000
Cl  0.500  0.500  0.500

#B
A PBEsol-optimized structure of Cu2SeCl. Source: Alexandria via LeMat-Bulk, functional SCAN.

Cell: 4.458 4.458 4.458 Å, 60.00 60.00 60.00°
Atoms (fractional coordinates):
Cu  0.000  0.000  0.000
Cu  0.250  0.250  0.250
Se  0.500  0.500  0.500
Cl  0.750  0.750  0.750

#C
A PBEsol-optimized structure of Cu2SeCl. Source: Alexandria via LeMat-Bulk, functional SCAN.

Cell: 5.121 5.121 5.121 Å, 142.85 96.00 95.65°
Atoms (fractional coordinates):
Cu  0.249  0.249  0.000
Cu  0.751  0.751  0.000
Se  0.500  0.000  0.500
Cl  0.000  0.500  0.500

How do the energies compare? Relative to the most stable structure, in meV/atom: #A 401; #B 715; #C 0.

#A
A PBEsol-optimized structure of Cu2SeCl. Source: Alexandria via LeMat-Bulk, functional SCAN.

Cell: 3.669 3.669 5.755 Å, 90.00 90.00 90.00°
Atoms (fractional coordinates):
Cu  0.000  0.500  0.000
Cu  0.500  0.000  0.000
Se  0.000  0.000  0.258
Cl  0.500  0.500  0.720

#B
A PBEsol-optimized structure of Cu2SeCl. Source: Alexandria via LeMat-Bulk, functional SCAN.

Cell: 6.583 6.583 6.583 Å, 131.79 131.79 70.55°
Atoms (fractional coordinates):
Cu  0.119  0.625  0.994
Cu  0.375  0.369  0.494
Cu  0.631  0.125  0.006
Cu  0.875  0.881  0.506
Se  0.000  0.000  0.000
Se  0.750  0.250  0.500
Cl  0.250  0.750  0.500
Cl  0.500  0.500  0.000

How do the energies compare? Relative to the most stable structure, in meV/atom: #A 18; #B 0.

#A
A PBEsol-optimized structure of TaCuCl2. Source: Alexandria via LeMat-Bulk, functional SCAN.

Cell: 9.759 9.759 9.759 Å, 17.72 17.72 17.72°
Atoms (fractional coordinates):
Ta  0.000  0.000  0.000
Cu  0.500  0.500  0.500
Cl  0.271  0.271  0.271
Cl  0.729  0.729  0.729

#B
A PBEsol-optimized structure of TaCuCl2. Source: Alexandria via LeMat-Bulk, functional SCAN.

Cell: 5.662 5.662 5.662 Å, 143.98 143.98 51.86°
Atoms (fractional coordinates):
Ta  0.000  0.000  0.000
Cu  0.250  0.750  0.500
Cl  0.500  0.500  0.000
Cl  0.750  0.250  0.500

#C
A PBEsol-optimized structure of TaCuCl2. Source: Alexandria via LeMat-Bulk, functional SCAN.

Cell: 3.128 3.128 9.510 Å, 90.00 90.00 125.06°
Atoms (fractional coordinates):
Ta  0.000  0.000  0.000
Cu  0.000  0.000  0.500
Cl  0.500  0.500  0.210
Cl  0.500  0.500  0.790

How do the energies compare? Relative to the most stable structure, in meV/atom: #A 0; #B 777; #C 198.

#A
A PBEsol-optimized structure of Cu2TcCl. Source: Alexandria via LeMat-Bulk, functional SCAN.

Cell: 4.251 2.684 4.872 Å, 90.00 106.87 90.00°
Atoms (fractional coordinates):
Cu  0.000  0.000  0.000
Cu  0.500  0.500  0.000
Tc  0.000  0.500  0.500
Cl  0.500  0.000  0.500

#B
A PBEsol-optimized structure of Cu2TcCl. Source: Alexandria via LeMat-Bulk, functional SCAN.

Cell: 3.537 3.537 4.264 Å, 90.00 90.00 90.00°
Atoms (fractional coordinates):
Cu  0.000  0.500  0.000
Cu  0.500  0.000  0.000
Tc  0.000  0.000  0.500
Cl  0.500  0.500  0.500

How do the energies compare? Relative to the most stable structure, in meV/atom: #A 0; #B 180.

#A
A PBEsol-optimized structure of CuTeCl2. Source: Alexandria via LeMat-Bulk, functional SCAN.

Cell: 8.154 8.154 8.154 Å, 25.26 25.26 25.26°
Atoms (fractional coordinates):
Cu  0.000  0.000  0.000
Te  0.261  0.261  0.261
Cl  0.508  0.508  0.508
Cl  0.718  0.718  0.718

#B
A PBEsol-optimized structure of CuTeCl2. Source: Alexandria via LeMat-Bulk, functional SCAN.

Cell: 5.631 5.631 5.631 Å, 147.50 105.46 83.69°
Atoms (fractional coordinates):
Cu  0.000  0.000  0.000
Te  0.500  0.500  0.000
Cl  0.196  0.696  0.500
Cl  0.804  0.304  0.500

#C
A PBEsol-optimized structure of CuTeCl2. Source: Alexandria via LeMat-Bulk, functional SCAN.

Cell: 4.435 4.435 4.194 Å, 90.00 90.00 93.96°
Atoms (fractional coordinates):
Cu  0.000  0.000  0.000
Te  0.500  0.500  0.000
Cl  0.230  0.770  0.500
Cl  0.770  0.230  0.500

How do the energies compare? Relative to the most stable structure, in meV/atom: #A 0; #B 103; #C 264.